This record from the Alexandria database describes crystalline KSrHf2Ge at its relaxed geometry. The functional is PBE.

The structure in POSCAR format:
```
KSrHf2Ge
1.0
5.233 0.000 0.000
0.000 5.233 0.000
0.000 0.000 6.155
K Sr Hf Ge
1 1 2 1
direct
0.000 0.000 0.000 K
0.500 0.500 0.000 Sr
0.000 0.500 0.500 Hf
0.500 0.000 0.500 Hf
0.500 0.500 0.500 Ge
```

Results
ΔE_f ... 0.565 eV per atom
Total moment ... 2.1 μB per cell
Crystal system ... tetragonal
D(E_F) ... 7.95 states/eV/f.u.


This record from the Alexandria database describes crystalline LaHfGe at its relaxed geometry. The functional is PBE.

The structure in POSCAR format:
```
LaHfGe
1.0
4.671 0.000 0.000
-2.336 4.045 0.000
0.000 0.000 4.167
La Hf Ge
1 1 1
direct
0.000 0.000 0.000 La
0.667 0.333 0.500 Hf
0.333 0.667 0.506 Ge
```

Results
ΔE_f ... -0.220 eV per atom
Total moment ... 0.6 μB per cell
Crystal system ... trigonal
D(E_F) ... 4.75 states/eV/f.u.


This record from the Alexandria database describes crystalline LaHfGe at its relaxed geometry. The functional is PBE.

The structure in POSCAR format:
```
LaHfGe
1.0
4.290 0.000 0.000
0.000 4.290 0.000
0.000 0.000 8.264
La Hf Ge
2 2 2
direct
0.250 0.250 0.149 La
0.750 0.750 0.851 La
0.250 0.750 0.500 Hf
0.750 0.250 0.500 Hf
0.250 0.250 0.733 Ge
0.750 0.750 0.267 Ge
```

Results
ΔE_f ... -0.602 eV per atom
Total moment ... 0.9 μB per cell
Crystal system ... tetragonal
D(E_F) ... 3.56 states/eV/f.u.


This record from the Alexandria database describes crystalline LaHfGe2 at its relaxed geometry. The functional is PBE.

The structure in POSCAR format:
```
LaHfGe2
1.0
2.050 1.183 6.771
-2.050 1.183 6.771
0.000 -2.367 6.771
La Hf Ge
1 1 2
direct
0.000 0.000 0.000 La
0.500 0.500 0.500 Hf
0.237 0.237 0.237 Ge
0.763 0.763 0.763 Ge
```

Results
ΔE_f ... -0.627 eV per atom
Total moment ... 0.0 μB per cell
Crystal system ... trigonal
D(E_F) ... 2.58 states/eV/f.u.


This record from the Alexandria database describes crystalline LaHfGe2 at its relaxed geometry. The functional is PBE.

The structure in POSCAR format:
```
LaHfGe2
1.0
0.000 3.550 3.550
3.550 0.000 3.550
3.550 3.550 0.000
La Hf Ge
1 1 2
direct
0.000 0.000 0.000 La
0.500 0.500 0.500 Hf
0.250 0.250 0.250 Ge
0.750 0.750 0.750 Ge
```

Results
ΔE_f ... -0.346 eV per atom
Total moment ... 0.0 μB per cell
Crystal system ... cubic
D(E_F) ... 5.94 states/eV/f.u.


This record from the Alexandria database describes crystalline La2HfGe at its relaxed geometry. The functional is PBE.

The structure in POSCAR format:
```
La2HfGe
1.0
-4.419 4.419 2.891
4.419 -4.419 2.891
4.419 4.419 -2.891
La Hf Ge
4 2 2
direct
0.082 0.125 0.457 La
0.375 0.918 0.043 La
0.668 0.625 0.543 La
0.875 0.332 0.957 La
0.250 0.750 0.500 Hf
0.500 0.500 0.000 Hf
0.000 0.000 0.000 Ge
0.750 0.250 0.500 Ge
```

Results
ΔE_f ... 0.062 eV per atom
Total moment ... 0.0 μB per cell
Crystal system ... tetragonal
D(E_F) ... 3.17 states/eV/f.u.


This record from the Alexandria database describes crystalline LaHf2Ge at its relaxed geometry. The functional is PBE.

The structure in POSCAR format:
```
LaHf2Ge
1.0
-2.186 2.186 10.259
2.186 -2.186 10.259
2.186 2.186 -10.259
La Hf Ge
2 4 2
direct
0.000 0.000 0.000 La
0.750 0.250 0.500 La
0.144 0.625 0.019 Hf
0.375 0.394 0.519 Hf
0.606 0.125 0.981 Hf
0.875 0.856 0.481 Hf
0.250 0.750 0.500 Ge
0.500 0.500 0.000 Ge
```

Results
ΔE_f ... 0.114 eV per atom
Total moment ... 0.0 μB per cell
Crystal system ... tetragonal
D(E_F) ... 4.88 states/eV/f.u.


This record from the Alexandria database describes crystalline LaHf3Ge at its relaxed geometry. The functional is PBE.

The structure in POSCAR format:
```
LaHf3Ge
1.0
5.121 0.000 0.000
0.000 5.121 0.000
0.000 0.000 5.121
La Hf Ge
1 3 1
direct
0.000 0.000 0.000 La
0.000 0.500 0.500 Hf
0.500 0.000 0.500 Hf
0.500 0.500 0.000 Hf
0.500 0.500 0.500 Ge
```

Results
ΔE_f ... 0.279 eV per atom
Total moment ... 0.0 μB per cell
Crystal system ... cubic
D(E_F) ... 6.90 states/eV/f.u.


This record from the Alexandria database describes crystalline La5HfGe4 at its relaxed geometry. The functional is PBE.

The structure in POSCAR format:
```
La5HfGe4
1.0
9.421 -2.167 0.000
9.421 2.167 0.000
-2.723 0.000 7.418
La Hf Ge
5 1 4
direct
0.000 0.000 0.000 La
0.332 0.332 0.122 La
0.336 0.336 0.648 La
0.664 0.664 0.352 La
0.668 0.668 0.878 La
0.000 0.000 0.500 Hf
0.167 0.167 0.622 Ge
0.497 0.497 0.273 Ge
0.503 0.503 0.727 Ge
0.833 0.833 0.378 Ge
```

Results
ΔE_f ... -0.520 eV per atom
Total moment ... 0.0 μB per cell
Crystal system ... monoclinic
D(E_F) ... 8.74 states/eV/f.u.


This record from the Alexandria database describes crystalline LaHfGe2 at its relaxed geometry. The functional is PBE.

The structure in POSCAR format:
```
LaHfGe2
1.0
-2.890 2.890 7.620
2.890 -2.890 7.620
2.890 2.890 -7.620
La Hf Ge
2 2 4
direct
0.000 0.000 0.000 La
0.750 0.250 0.500 La
0.250 0.750 0.500 Hf
0.500 0.500 0.000 Hf
0.199 0.625 0.074 Ge
0.375 0.449 0.574 Ge
0.551 0.125 0.926 Ge
0.875 0.801 0.426 Ge
```

Results
ΔE_f ... 0.050 eV per atom
Total moment ... 0.0 μB per cell
Crystal system ... tetragonal
D(E_F) ... 2.98 states/eV/f.u.


This record from the Alexandria database describes crystalline LaHfGe at its relaxed geometry. The functional is PBE.

The structure in POSCAR format:
```
LaHfGe
1.0
-2.138 2.138 8.292
2.138 -2.138 8.292
2.138 2.138 -8.292
La Hf Ge
2 2 2
direct
0.177 0.177 0.000 La
0.823 0.823 0.000 La
0.000 0.500 0.500 Hf
0.500 0.000 0.500 Hf
0.383 0.383 0.000 Ge
0.617 0.617 0.000 Ge
```

Results
ΔE_f ... -0.600 eV per atom
Total moment ... 1.1 μB per cell
Crystal system ... tetragonal
D(E_F) ... 4.21 states/eV/f.u.


This record from the Alexandria database describes crystalline La3HfGe at its relaxed geometry. The functional is PBE.

The structure in POSCAR format:
```
La3HfGe
1.0
5.615 0.000 0.000
0.000 5.615 0.000
0.000 0.000 5.615
La Hf Ge
3 1 1
direct
0.000 0.000 0.500 La
0.000 0.500 0.000 La
0.500 0.000 0.000 La
0.000 0.000 0.000 Hf
0.500 0.500 0.500 Ge
```

Results
ΔE_f ... 0.538 eV per atom
Total moment ... 0.0 μB per cell
Crystal system ... cubic
D(E_F) ... 6.74 states/eV/f.u.


This record from the Alexandria database describes crystalline La3HfGe at its relaxed geometry. The functional is PBE.

The structure in POSCAR format:
```
La3HfGe
1.0
5.709 0.000 0.000
0.000 5.709 0.000
0.000 0.000 5.709
La Hf Ge
3 1 1
direct
0.000 0.000 0.500 La
0.000 0.500 0.000 La
0.500 0.000 0.000 La
0.500 0.500 0.500 Hf
0.000 0.000 0.000 Ge
```

Results
ΔE_f ... 0.363 eV per atom
Total moment ... 0.0 μB per cell
Crystal system ... cubic
D(E_F) ... 17.59 states/eV/f.u.


This record from the Alexandria database describes crystalline LaHf3Ge at its relaxed geometry. The functional is PBE.

The structure in POSCAR format:
```
LaHf3Ge
1.0
5.138 0.000 0.000
0.000 5.138 0.000
0.000 0.000 5.138
La Hf Ge
1 3 1
direct
0.000 0.000 0.000 La
0.000 0.000 0.500 Hf
0.000 0.500 0.000 Hf
0.500 0.000 0.000 Hf
0.500 0.500 0.500 Ge
```

Results
ΔE_f ... 1.633 eV per atom
Total moment ... 0.0 μB per cell
Crystal system ... cubic
D(E_F) ... 8.29 states/eV/f.u.


This record from the Alexandria database describes crystalline La2HfGe2 at its relaxed geometry. The functional is PBE.

The structure in POSCAR format:
```
La2HfGe2
1.0
7.671 0.000 0.000
0.000 7.671 0.000
0.000 0.000 4.388
La Hf Ge
4 2 4
direct
0.153 0.347 0.000 La
0.347 0.847 0.000 La
0.653 0.153 0.000 La
0.847 0.653 0.000 La
0.000 0.000 0.500 Hf
0.500 0.500 0.500 Hf
0.157 0.657 0.500 Ge
0.343 0.157 0.500 Ge
0.657 0.843 0.500 Ge
0.843 0.343 0.500 Ge
```

Results
ΔE_f ... -0.642 eV per atom
Total moment ... 0.0 μB per cell
Crystal system ... tetragonal
D(E_F) ... 0.43 states/eV/f.u.


This record from the Alexandria database describes crystalline La2Hf2Ge at its relaxed geometry. The functional is PBE.

The structure in POSCAR format:
```
La2Hf2Ge
1.0
7.293 0.000 0.000
0.000 7.293 0.000
0.000 0.000 5.031
La Hf Ge
4 4 2
direct
0.165 0.335 0.000 La
0.335 0.835 0.000 La
0.665 0.165 0.000 La
0.835 0.665 0.000 La
0.145 0.645 0.500 Hf
0.355 0.145 0.500 Hf
0.645 0.855 0.500 Hf
0.855 0.355 0.500 Hf
0.000 0.000 0.500 Ge
0.500 0.500 0.500 Ge
```

Results
ΔE_f ... -0.081 eV per atom
Total moment ... 0.0 μB per cell
Crystal system ... tetragonal
D(E_F) ... 6.40 states/eV/f.u.


This record from the Alexandria database describes crystalline LaHfGe2O8 at its relaxed geometry. The functional is PBE.

The structure in POSCAR format:
```
LaHfGe2O8
1.0
-3.510 3.510 3.249
3.510 -3.510 3.249
3.510 3.510 -3.249
La Hf Ge O
1 1 2 8
direct
0.000 0.000 0.000 La
0.750 0.250 0.500 Hf
0.250 0.750 0.500 Ge
0.500 0.500 0.000 Ge
0.052 0.381 0.329 O
0.052 0.723 0.671 O
0.129 0.327 0.802 O
0.277 0.948 0.329 O
0.525 0.327 0.198 O
0.619 0.948 0.671 O
0.673 0.475 0.802 O
0.673 0.871 0.198 O
```

Results
Total moment ... 0.0 μB per cell
Crystal system ... tetragonal
D(E_F) ... 7.11 states/eV/f.u.
DFT total energy ... -91.74 eV per cell


This record from the Alexandria database describes crystalline La2HfGe3Pt4 at its relaxed geometry. The functional is PBE.

The structure in POSCAR format:
```
La2HfGe3Pt4
1.0
4.404 0.000 0.000
0.000 4.404 0.000
0.000 0.000 10.577
La Hf Ge Pt
2 1 3 4
direct
0.000 0.500 0.236 La
0.500 0.000 0.764 La
0.000 0.000 0.500 Hf
0.000 0.500 0.875 Ge
0.500 0.000 0.125 Ge
0.500 0.500 0.500 Ge
0.000 0.000 0.000 Pt
0.000 0.500 0.640 Pt
0.500 0.000 0.360 Pt
0.500 0.500 0.000 Pt
```

Results
ΔE_f ... -0.988 eV per atom
Total moment ... 0.0 μB per cell
Crystal system ... tetragonal
D(E_F) ... 7.41 states/eV/f.u.


This record from the Alexandria database describes crystalline La2HfGe3Rh4 at its relaxed geometry. The functional is PBE.

The structure in POSCAR format:
```
La2HfGe3Rh4
1.0
4.223 0.000 0.000
0.000 4.223 0.000
0.000 0.000 10.938
La Hf Ge Rh
2 1 3 4
direct
0.000 0.500 0.239 La
0.500 0.000 0.761 La
0.000 0.000 0.500 Hf
0.000 0.500 0.877 Ge
0.500 0.000 0.123 Ge
0.500 0.500 0.500 Ge
0.000 0.000 0.000 Rh
0.000 0.500 0.645 Rh
0.500 0.000 0.355 Rh
0.500 0.500 0.000 Rh
```

Results
ΔE_f ... -0.918 eV per atom
Total moment ... 0.0 μB per cell
Crystal system ... tetragonal
D(E_F) ... 4.31 states/eV/f.u.


This record from the Alexandria database describes crystalline LaHf2GeRu at its relaxed geometry. The functional is PBE.

The structure in POSCAR format:
```
LaHf2GeRu
1.0
5.122 0.000 0.000
0.000 5.122 0.000
0.000 0.000 5.133
La Hf Ge Ru
1 2 1 1
direct
0.000 0.000 0.000 La
0.000 0.500 0.000 Hf
0.500 0.000 0.000 Hf
0.000 0.000 0.500 Ge
0.500 0.500 0.500 Ru
```

Results
ΔE_f ... 2.077 eV per atom
Total moment ... 0.0 μB per cell
Crystal system ... tetragonal
D(E_F) ... 7.57 states/eV/f.u.